Density functional theory data (PBE-GGA) for a geometry-optimized LiMo2Pt structure.

Lattice parameters (Å, degrees): 4.3968 4.3968 4.3968 60.00 60.00 60.00
Fractional positions:
Li 0.0000 0.0000 0.0000
Mo 0.2500 0.2500 0.2500
Mo 0.7500 0.7500 0.7500
Pt 0.5000 0.5000 0.5000

**Calculated total energy**: -7.020 eV per atom
**ΔH_f (0 K)**: 37 kJ per mole of atoms
**Total moment**: 0.00 μB/f.u.
**ΔE to the lowest computed polymorph**: 463.5 meV/atom